Record 1
This record from Alexandria describes a geometry-optimized K2AlPt structure. The functional is PBE.

Density of states at the Fermi level (states/eV/cell): 5.6
Raw total energy (eV/f.u.): -10.3
DFT formation energy (eV/atom): 0.4087
Symmetry: No. 122
Theoretical density (g/cm3): 4.98

a = 12.108 Å, b = 12.108 Å, c = 12.108 Å
α = 160.36°, β = 160.36°, γ = 27.91°
Fractional coordinates of all 8 atoms:
K1 0.118 0.625 0.993
K2 0.375 0.368 0.493
K3 0.632 0.125 0.007
K4 0.875 0.882 0.507
Al1 0.250 0.750 0.500
Al2 0.500 0.500 0.000
Pt1 0.000 0.000 0.000
Pt2 0.750 0.250 0.500

Record 2
This record from Alexandria describes a geometry-optimized La3AgAu3 structure. The functional is PBE.

Density of states at the Fermi level (states/eV/cell): 5.9
Raw total energy (eV/f.u.): -32.3
DFT formation energy (eV/atom): -0.6875
Symmetry: No. 44
Theoretical density (g/cm3): 9.72

a = 10.810 Å, b = 10.810 Å, c = 10.810 Å
α = 158.32°, β = 155.87°, γ = 32.66°
Fractional coordinates of all 7 atoms:
La1 0.000 0.000 0.000
La2 0.367 0.367 0.000
La3 0.676 0.176 0.500
Ag1 0.249 0.749 0.500
Au1 0.117 0.617 0.500
Au2 0.526 0.526 0.000
Au3 0.837 0.837 0.000

Record 3
This record from Alexandria describes a geometry-optimized Ce4TlAu7 structure. The functional is PBE.

Density of states at the Fermi level (states/eV/cell): 30.7
Raw total energy (eV/f.u.): -54.5
DFT formation energy (eV/atom): -0.4547
Symmetry: No. 12
Theoretical density (g/cm3): 11.52

a = 7.708 Å, b = 7.708 Å, c = 9.564 Å
α = 119.59°, β = 119.59°, γ = 39.72°
Fractional coordinates of all 12 atoms:
Ce1 0.068 0.068 0.253
Ce2 0.228 0.228 0.779
Ce3 0.772 0.772 0.221
Ce4 0.932 0.932 0.747
Tl1 0.500 0.500 0.500
Au1 0.000 0.000 0.500
Au2 0.166 0.166 0.046
Au3 0.309 0.309 0.545
Au4 0.406 0.406 0.139
Au5 0.594 0.594 0.861
Au6 0.691 0.691 0.455
Au7 0.834 0.834 0.954

Record 4
This record from Alexandria describes a geometry-optimized Ca2TeW structure. The functional is PBE.

Polymorph energy (0 for the lowest one) (meV per atom): 185
Density of states at the Fermi level (states/eV/cell): 3.8
Raw total energy (eV/f.u.): -18.5
Formation energy (no corrections) (eV per formula unit): 1.554
Symmetry: No. 166
Theoretical density (g/cm3): 6.39

a = 9.968 Å, b = 9.968 Å, c = 9.968 Å
α = 20.04°, β = 20.04°, γ = 20.04°
Fractional coordinates of all 4 atoms:
Ca1 0.249 0.249 0.249
Ca2 0.751 0.751 0.751
Te1 0.000 0.000 0.000
W1 0.500 0.500 0.500

Record 5
This record from Alexandria describes a geometry-optimized In2AgSb structure. The functional is PBE.

Density of states at the Fermi level (states/eV/cell): 1.4
Raw total energy (eV/f.u.): -12.0
Formation energy (no corrections) (eV per formula unit): 0.405
Symmetry: No. 47
Theoretical density (g/cm3): 7.63

a = 4.384 Å, b = 4.549 Å, c = 5.012 Å
α = 90.00°, β = 90.00°, γ = 90.00°
Fractional coordinates of all 4 atoms:
In1 0.000 0.000 0.000
In2 0.500 0.000 0.500
Ag1 0.000 0.500 0.500
Sb1 0.500 0.500 0.000

Record 6
This record from Alexandria describes a geometry-optimized CaMgIN2 structure. The functional is PBE.

Polymorph energy (0 for the lowest one) (meV per atom): 427
Density of states at the Fermi level (states/eV/cell): 3.3
Raw total energy (eV/f.u.): -17.0
Formation energy (no corrections) (eV per formula unit): 4.747
Symmetry: No. 123
Theoretical density (g/cm3): 2.77

a = 4.605 Å, b = 4.605 Å, c = 6.210 Å
α = 90.00°, β = 90.00°, γ = 90.00°
Fractional coordinates of all 5 atoms:
Ca1 0.000 0.000 0.000
Mg1 0.500 0.500 0.500
I1 0.000 0.000 0.500
N1 0.000 0.500 0.000
N2 0.500 0.000 0.000